A plane-wave DFT calculation with PBE-GGA was carried out for an optimized crystal structure of BaCaLa2.

abc: 6.689 6.689 6.689
angles: 130.24 130.24 73.03
Sites, in units of the cell vectors:
1 La 0.250 0.750 0.500
2 La 0.000 0.000 0.000
3 Ba 0.500 0.500 0.000
4 Ca 0.750 0.250 0.500

Calculated values
Offset from the most stable computed form (meV/atom): 113
Calculated volume (Å³/atom): 42.6
DFT formation energy (meV/atom): 176
Total magnetic moment (μB/cell): 0.00